A geometry-optimized CaTbCuRh structure, computed with GGA-PBE.

Properties
- Formation energy: -0.387 eV per atom
- Crystal system: cubic
- Energy above the most stable polymorph in this dataset: 0.25 eV per formula unit
- Raw total energy: -78.51 eV per cell
- Size of the total moment: 0.00 μB per atom

a b c (Å): 6.927 6.927 6.927
angles (deg): 90.00 90.00 90.00
Sites, in units of the cell vectors:
1 Ca 0.000 0.000 0.000
2 Ca 0.000 0.500 0.500
3 Ca 0.500 0.000 0.500
4 Ca 0.500 0.500 0.000
5 Tb 0.000 0.000 0.500
6 Tb 0.000 0.500 0.000
7 Tb 0.500 0.000 0.000
8 Tb 0.500 0.500 0.500
9 Cu 0.250 0.250 0.750
10 Cu 0.250 0.750 0.250
11 Cu 0.750 0.250 0.250
12 Cu 0.750 0.750 0.750
13 Rh 0.250 0.250 0.250
14 Rh 0.250 0.750 0.750
15 Rh 0.750 0.250 0.750
16 Rh 0.750 0.750 0.250